No. 1
Density functional theory data (PBE) for a relaxed Dy2PuGa6 crystal.

Values from the calculation:
Electronic total energy (eV/cell): -46.51
Mass density (g cm⁻³): 8.927
Energy of formation from the pure elements (eV/atom): -0.53
Space-group type: No. 191

Lattice parameters (Å, degrees): 3.5684 7.7093 7.7093 120.00 90.00 90.00
Closest atoms and distances in Å follow each position.
Atoms (fractional coordinates):
1 Dy 0.0000 0.3333 0.6667  12 Ga 3.13
2 Dy 0.0000 0.6667 0.3333  12 Ga 3.13
3 Pu 0.0000 0.0000 0.0000  12 Ga 3.13
4 Ga 0.5000 0.3342 0.3342  3 Ga 2.56-2.58
5 Ga 0.5000 0.6658 0.6658  3 Ga 2.56-2.58
6 Ga 0.5000 0.0000 0.6658  3 Ga 2.56-2.58
7 Ga 0.5000 0.6658 0.0000  3 Ga 2.56-2.58
8 Ga 0.5000 0.3342 0.0000  3 Ga 2.56-2.58
9 Ga 0.5000 0.0000 0.3342  3 Ga 2.56-2.58

No. 2
Density functional theory data (PBE) for a relaxed Dy2PuGa2Ru5 crystal.

Values from the calculation:
Electronic total energy (eV/cell): -159.06
Mass density (g cm⁻³): 11.463
Energy of formation from the pure elements (eV/atom): -0.36
Space-group type: No. 127

Lattice parameters (Å, degrees): 3.4555 10.0880 10.0880 90.00 90.00 90.00
Closest atoms and distances in Å follow each position.
Atoms (fractional coordinates):
1 Dy 0.0000 0.6693 0.1693  3 Ga 2.90-3.02, 10 Ru 2.97-3.23
2 Dy 0.0000 0.3307 0.8307  3 Ga 2.90-3.02, 10 Ru 2.97-3.23
3 Dy 0.0000 0.1693 0.3307  3 Ga 2.90-3.02, 10 Ru 2.97-3.23
4 Dy 0.0000 0.8307 0.6693  3 Ga 2.90-3.02, 10 Ru 2.97-3.23
5 Pu 0.0000 0.0000 0.0000  8 Ru 2.74
6 Pu 0.0000 0.5000 0.5000  8 Ru 2.74
7 Ga 0.0000 0.1273 0.6273  6 Ru 2.51-2.53
8 Ga 0.0000 0.8727 0.3727  6 Ru 2.51-2.53
9 Ga 0.0000 0.6273 0.8727  6 Ru 2.51-2.53
10 Ga 0.0000 0.3727 0.1273  6 Ru 2.51-2.53
11 Ru 0.5000 0.2000 0.0677  2 Ga 2.53, 2 Pu 2.74
12 Ru 0.5000 0.8000 0.9323  2 Ga 2.53, 2 Pu 2.74
13 Ru 0.5000 0.0677 0.8000  2 Ga 2.53, 2 Pu 2.74
14 Ru 0.5000 0.7000 0.4323  2 Ga 2.53, 2 Pu 2.74
15 Ru 0.5000 0.9323 0.2000  2 Ga 2.53, 2 Pu 2.74
16 Ru 0.5000 0.3000 0.5677  2 Ga 2.53, 2 Pu 2.74
17 Ru 0.5000 0.5677 0.7000  2 Ga 2.53, 2 Pu 2.74
18 Ru 0.5000 0.4323 0.3000  2 Ga 2.53, 2 Pu 2.74
19 Ru 0.5000 0.5000 0.0000  4 Ga 2.51
20 Ru 0.5000 0.0000 0.5000  4 Ga 2.51